1.
Ho10Ti6O27 at its PBEsol-relaxed geometry. Source: the Alexandria database, functional SCAN.

```
Ho10Ti6O27
1.0
6.335 -3.582 0.000
6.335 3.582 0.000
-4.373 0.000 11.560
Ho Ti O
10 6 27
Direct
0.000 0.000 0.000
0.224 0.224 0.759
0.230 0.739 0.740
0.247 0.753 0.260
0.459 0.459 0.003
0.726 0.726 0.225
0.737 0.737 0.720
0.739 0.230 0.740
0.753 0.247 0.260
0.993 0.993 0.490
0.224 0.224 0.241
0.479 0.479 0.488
0.484 0.996 0.500
0.494 0.970 0.988
0.970 0.494 0.988
0.996 0.484 0.500
0.033 0.395 0.130
0.048 0.048 0.677
0.061 0.061 0.198
0.088 0.506 0.677
0.108 0.675 0.050
0.157 0.625 0.516
0.174 0.174 0.498
0.266 0.266 0.951
0.318 0.760 0.931
0.359 0.764 0.455
0.386 0.386 0.319
0.395 0.033 0.130
0.447 0.948 0.332
0.473 0.901 0.826
0.506 0.088 0.677
0.538 0.538 0.653
0.542 0.542 0.183
0.625 0.157 0.516
0.675 0.108 0.050
0.718 0.718 0.044
0.745 0.745 0.539
0.760 0.318 0.931
0.764 0.359 0.455
0.901 0.473 0.826
0.908 0.908 0.303
0.917 0.917 0.809
0.948 0.447 0.332
```

Values from the calculation:
Crystal system   monoclinic
Space group   No. 8


2.
HoTlW2O8 at its PBEsol-relaxed geometry. Source: the Alexandria database, functional SCAN.

```
HoTlW2O8
1.0
5.327 -5.215 0.000
5.327 5.215 0.000
-4.842 0.000 5.647
Ho Tl W O
2 2 4 16
Direct
0.228 0.772 0.750
0.772 0.228 0.250
0.209 0.791 0.250
0.791 0.209 0.750
0.300 0.305 0.770
0.305 0.300 0.270
0.695 0.700 0.730
0.700 0.695 0.230
0.042 0.211 0.188
0.064 0.382 0.623
0.211 0.042 0.688
0.238 0.380 0.054
0.369 0.586 0.530
0.380 0.238 0.554
0.382 0.064 0.123
0.414 0.631 0.970
0.586 0.369 0.030
0.618 0.936 0.877
0.620 0.762 0.446
0.631 0.414 0.470
0.762 0.620 0.946
0.789 0.958 0.312
0.936 0.618 0.377
0.958 0.789 0.812
```

Values from the calculation:
Crystal system   monoclinic
Space group   No. 15


Number 1: calculated total energy -21.21 eV/atom. Number 2: calculated total energy -28.43 eV/atom.